1.
Below is a relaxed Na5Li3Cl8 crystal, with properties calculated at the PBE level.

Calculated values
Energy relative to the elements, uncorrected (eV/f.u.): -28.60
Volume (Å³ per cell): 997.4

Cell: 7.7628 7.7628 19.1122 Å, 90.00 90.00 120.00°
Space group R-3m (No. 166, hexagonal axes)
Symmetry-distinct sites (fractional):
Na  0.0000  0.0000  0.0000
Na  0.0000  0.0000  0.5000
Na  0.0000  0.5000  0.0000
Li  0.0000  0.5000  0.5000
Cl  0.0000  0.0000  0.2434
Cl  0.0098  0.5049  0.7550

---

2.
Below is a relaxed KTlAg crystal, with properties calculated at the PBE level.

Calculated values
Calculated formation energy (meV per atom): -35
Volume (Å³ per cell): 196.8

Cell: 4.9953 6.4405 6.7273 Å, 101.08 111.62 90.10°
Space group P-1 (No. 2)
Symmetry-distinct sites (fractional):
K  0.1241  0.3392  0.2487
Tl  0.4198  0.1936  0.8394
Ag  0.2072  0.8868  0.4152